(1)
PrNd at its PBEsol-relaxed geometry, computed with SCAN.

As for the offset from the most stable computed form: 0.033 eV per atom. The value obtained for the formation energy is 0.03 eV per atom.

It has space group P-6m2 (No. 187), with a = 3.6188 Å, b = 3.6188 Å, c = 5.9182 Å, α = 90.00°, β = 90.00° and γ = 120.00°. The asymmetric unit holds Pr at (0.0000, 0.0000, 0.0000) and Nd at (0.6667, 0.3333, 0.5000).

(2)
PrNdSb at its PBEsol-relaxed geometry, computed with SCAN.

The value obtained for the uncorrected formation energy is -961 meV/atom.

It has space group I4/mmm (No. 139), with a = 4.5184 Å, b = 4.5184 Å, c = 17.6376 Å, α = 90.00°, β = 90.00° and γ = 90.00°. The asymmetric unit holds Pr at (0.0000, 0.0000, 0.1794), Nd at (0.0000, 0.5000, 0.0000) and Sb at (0.0000, 0.0000, 0.3628).

(3)
PrNdSb2 at its PBEsol-relaxed geometry, computed with SCAN.

The value obtained for the uncorrected formation energy is -1327 meV/atom.

It has space group R-3m (No. 166, hexagonal axes), with a = 4.4721 Å, b = 4.4721 Å, c = 21.9109 Å, α = 90.00°, β = 90.00° and γ = 120.00°. The asymmetric unit holds Pr at (0.0000, 0.0000, 0.0000), Nd at (0.0000, 0.0000, 0.5000) and Sb at (0.0000, 0.0000, 0.2493).

(4)
Pr2Nd2Sb3 at its PBEsol-relaxed geometry, computed with SCAN.

The value obtained for the uncorrected formation energy is -1178 meV/atom.

It has space group I2_13 (No. 199), with a = 9.4071 Å, b = 9.4071 Å, c = 9.4071 Å, α = 90.00°, β = 90.00° and γ = 90.00°. The asymmetric unit holds Pr at (0.0716, 0.0716, 0.0716), Nd at (0.1795, 0.3205, 0.6795) and Sb at (0.0000, 0.2500, 0.3769).

(5)
PrNdSb4 at its PBEsol-relaxed geometry, computed with SCAN.

The value obtained for the uncorrected formation energy is -906 meV/atom.

It has space group C2/m (No. 12), with a = 6.1034 Å, b = 6.2334 Å, c = 17.9947 Å, α = 90.00°, β = 90.02° and γ = 90.00°. The asymmetric unit holds Pr at (0.1373, 0.0000, 0.1110), Nd at (0.1384, 0.5000, 0.3902), Sb at (0.1259, 0.2500, 0.7488), Sb at (0.1353, 0.5000, 0.0641) and Sb at (0.1362, 0.0000, 0.4359).

(6)
PrNdTl2 at its PBEsol-relaxed geometry, computed with SCAN.

The value obtained for the formation energy is -0.61 eV per atom.

It has space group Fm-3m (No. 225), with a = 7.6924 Å, b = 7.6924 Å, c = 7.6924 Å, α = 90.00°, β = 90.00° and γ = 90.00°. The asymmetric unit holds Pr at (0.0000, 0.0000, 0.0000), Nd at (0.0000, 0.0000, 0.5000) and Tl at (0.2500, 0.2500, 0.2500).

(7)
PrNdZn2 at its PBEsol-relaxed geometry, computed with SCAN.

The value obtained for the formation energy is -0.37 eV per atom.

It has space group Fm-3m (No. 225), with a = 7.2532 Å, b = 7.2532 Å, c = 7.2532 Å, α = 90.00°, β = 90.00° and γ = 90.00°. The asymmetric unit holds Pr at (0.0000, 0.0000, 0.0000), Nd at (0.0000, 0.0000, 0.5000) and Zn at (0.2500, 0.2500, 0.2500).

(8)
NdPt5 at its PBEsol-relaxed geometry, computed with SCAN.

The value obtained for the formation energy is -0.81 eV per atom.

It has space group P6/mmm (No. 191), with a = 5.3413 Å, b = 5.3413 Å, c = 4.3729 Å, α = 90.00°, β = 90.00° and γ = 120.00°. The asymmetric unit holds Nd at (0.0000, 0.0000, 0.0000), Pt at (0.0000, 0.5000, 0.5000) and Pt at (0.3333, 0.6667, 0.0000).

(9)
NdPt at its PBEsol-relaxed geometry, computed with SCAN.

The value obtained for the formation energy is -1.36 eV per atom.

It has space group Pnma (No. 62), with a = 7.2400 Å, b = 4.5411 Å, c = 5.6541 Å, α = 90.00°, β = 90.00° and γ = 90.00°. The asymmetric unit holds Nd at (0.1821, 0.2500, 0.1386) and Pt at (0.0431, 0.2500, 0.6512).

(10)
NdPt2 at its PBEsol-relaxed geometry, computed with SCAN.

The value obtained for the formation energy is -1.24 eV per atom.

It has space group Fd-3m (No. 227, origin choice 2), with a = 7.6884 Å, b = 7.6884 Å, c = 7.6884 Å, α = 90.00°, β = 90.00° and γ = 90.00°. The asymmetric unit holds Nd at (0.1250, 0.1250, 0.1250) and Pt at (0.0000, 0.0000, 0.5000).

(11)
NdPt at its PBEsol-relaxed geometry, computed with SCAN.

The value obtained for the formation energy is -1.35 eV per atom.

It has space group Cmcm (No. 63), with a = 3.8573 Å, b = 10.7327 Å, c = 4.5004 Å, α = 90.00°, β = 90.00° and γ = 90.00°. The asymmetric unit holds Nd at (0.0000, 0.1377, 0.2500) and Pt at (0.0000, 0.4134, 0.2500).

(12)
Nd3Pt4 at its PBEsol-relaxed geometry, computed with SCAN.

The value obtained for the formation energy is -1.27 eV per atom.

It has space group R-3 (No. 148, hexagonal axes), with a = 13.4810 Å, b = 13.4810 Å, c = 5.7480 Å, α = 90.00°, β = 90.00° and γ = 120.00°. The asymmetric unit holds Nd at (0.0440, 0.8342, 0.2392), Pt at (0.0000, 0.0000, 0.0000), Pt at (0.0000, 0.0000, 0.5000) and Pt at (0.0565, 0.6103, 0.3894).

(13)
NdPt3 at its PBEsol-relaxed geometry, computed with SCAN.

The value obtained for the formation energy is -0.92 eV per atom.

It has space group Pm-3m (No. 221), with a = 4.1352 Å, b = 4.1352 Å, c = 4.1352 Å, α = 90.00°, β = 90.00° and γ = 90.00°. The asymmetric unit holds Nd at (0.0000, 0.0000, 0.0000) and Pt at (0.0000, 0.5000, 0.5000).

(14)
NdSnPt at its PBEsol-relaxed geometry, computed with SCAN.

The value obtained for the formation energy is -1.25 eV per atom.

It has space group Pnma (No. 62), with a = 7.3546 Å, b = 4.5890 Å, c = 7.9889 Å, α = 90.00°, β = 90.00° and γ = 90.00°. The asymmetric unit holds Nd at (0.0122, 0.2500, 0.1941), Sn at (0.1758, 0.2500, 0.5834) and Pt at (0.2102, 0.7500, 0.4084).

(15)
NdSnPt at its PBEsol-relaxed geometry, computed with SCAN.

The value obtained for the formation energy is -1.24 eV per atom.

It has space group P-62m (No. 189), with a = 7.5262 Å, b = 7.5262 Å, c = 4.0852 Å, α = 90.00°, β = 90.00° and γ = 120.00°. The asymmetric unit holds Nd at (0.0000, 0.4100, 0.0000), Sn at (0.0000, 0.7463, 0.5000), Pt at (0.0000, 0.0000, 0.0000) and Pt at (0.3333, 0.6667, 0.5000).

(16)
RbNdSe2 at its PBEsol-relaxed geometry, computed with SCAN.

The value obtained for the uncorrected formation energy is -1988 meV/atom.

It has space group R-3m (No. 166, hexagonal axes), with a = 4.3044 Å, b = 4.3044 Å, c = 23.6532 Å, α = 90.00°, β = 90.00° and γ = 120.00°. The asymmetric unit holds Rb at (0.0000, 0.0000, 0.0000), Nd at (0.0000, 0.0000, 0.5000) and Se at (0.0000, 0.0000, 0.2343).

(17)
RbNdTe4 at its PBEsol-relaxed geometry, computed with SCAN.

The value obtained for the uncorrected formation energy is -1098 meV/atom.

It has space group P4/nbm (No. 125, origin choice 2), with a = 6.8375 Å, b = 6.8375 Å, c = 9.1155 Å, α = 90.00°, β = 90.00° and γ = 90.00°. The asymmetric unit holds Rb at (0.2500, 0.2500, 0.0000), Nd at (0.2500, 0.2500, 0.5000) and Te at (0.1046, 0.6046, 0.2930).

(18)
RbNdTe2 at its PBEsol-relaxed geometry, computed with SCAN.

The value obtained for the uncorrected formation energy is -1600 meV/atom.

It has space group R-3m (No. 166, hexagonal axes), with a = 4.5632 Å, b = 4.5632 Å, c = 25.2802 Å, α = 90.00°, β = 90.00° and γ = 120.00°. The asymmetric unit holds Rb at (0.0000, 0.0000, 0.0000), Nd at (0.0000, 0.0000, 0.5000) and Te at (0.0000, 0.0000, 0.2357).

(19)
NdRe2 at its PBEsol-relaxed geometry, computed with SCAN.

The value obtained for the formation energy is -0.05 eV per atom.

It has space group P6_3/mmc (No. 194), with a = 5.4640 Å, b = 5.4640 Å, c = 8.7851 Å, α = 90.00°, β = 90.00° and γ = 120.00°. The asymmetric unit holds Nd at (0.3333, 0.6667, 0.0627), Re at (0.0000, 0.0000, 0.0000) and Re at (0.1699, 0.3398, 0.7500).

(20)
NdRh3 at its PBEsol-relaxed geometry, computed with SCAN.

The value obtained for the formation energy is -0.58 eV per atom.

It has space group P6_3/mmc (No. 194), with a = 5.2478 Å, b = 5.2478 Å, c = 17.3736 Å, α = 90.00°, β = 90.00° and γ = 120.00°. The asymmetric unit holds Nd at (0.3333, 0.6667, 0.0414), Nd at (0.3333, 0.6667, 0.2500), Rh at (0.0000, 0.0000, 0.0000), Rh at (0.0000, 0.0000, 0.2500), Rh at (0.1666, 0.3332, 0.6278) and Rh at (0.3333, 0.6667, 0.7500).